Record 1
DFT (GGA-PBE) results for a geometry-optimized Tb4ErTm6 structure. Values from VASP.

Geometry as Quantum ESPRESSO input:
```
&SYSTEM
  ibrav = 0, nat = 11, ntyp = 3
/
ATOMIC_SPECIES
Tm 168.93 Tm.upf
Tb 158.93 Tb.upf
Er 167.26 Er.upf
CELL_PARAMETERS angstrom
2.823 8.852 2.342
-5.600 -4.528 -6.320
-6.420 -6.624 2.591
ATOMIC_POSITIONS angstrom
Tm -1.799 1.114 2.466
Tm -5.599 -2.962 -1.212
Tm -1.389 2.162 -1.989
Tm -7.416 -6.641 -3.942
Tm -0.493 3.543 0.788
Tm -7.710 -7.392 -0.750
Tb -10.093 -5.466 -2.214
Tb -3.664 -2.982 -4.003
Tb -3.283 -0.712 -0.469
Tb -4.177 -4.293 1.571
Er 0.000 0.000 0.000
```

As for the symmetry: I-42m (121). The value obtained for the magnetic moment is 0.000 μB per atom. Its formation energy is 0.3058 eV per atom. For the distance to the lowest polymorph of the same formula, the calculation gives 0.0 meV per atom.

=====

Record 2
DFT (GGA-PBE) results for a geometry-optimized YFeMo structure. Values from VASP.

Geometry as Quantum ESPRESSO input:
```
&SYSTEM
  ibrav = 0, nat = 3, ntyp = 3
/
ATOMIC_SPECIES
Fe 55.84 Fe.upf
Y 88.91 Y.upf
Mo 95.94 Mo.upf
CELL_PARAMETERS angstrom
-3.378 3.074 -0.101
-4.333 -1.349 0.526
-2.265 1.032 3.831
ATOMIC_POSITIONS angstrom
Fe 0.000 0.000 0.000
Y -7.482 2.067 3.192
Mo -4.988 1.378 2.128
```

As for the symmetry: F-43m (216). The value obtained for the magnetic moment is 1.611 μB per atom. Its formation energy is 1.6542 eV per atom. For the distance to the lowest polymorph of the same formula, the calculation gives 1617.4 meV per atom.

=====

Record 3
DFT (GGA-PBE) results for a geometry-optimized KCa2ReC structure. Values from VASP.

Geometry as Quantum ESPRESSO input:
```
&SYSTEM
  ibrav = 0, nat = 5, ntyp = 4
/
ATOMIC_SPECIES
Ca 40.08 Ca.upf
K 39.10 K.upf
Re 186.21 Re.upf
C 12.01 C.upf
CELL_PARAMETERS angstrom
-1.620 4.739 -2.063
-3.365 0.674 4.190
3.308 2.138 2.313
ATOMIC_POSITIONS angstrom
Ca -0.810 2.369 -1.031
Ca -1.683 0.337 2.095
K 0.000 0.000 0.000
Re 1.654 1.069 1.156
C -0.838 3.775 2.220
```

As for the symmetry: P4/mmm (123). The value obtained for the magnetic moment is 0.168 μB per atom. Its formation energy is 2.9925 eV per atom.